[1]
A plane-wave DFT calculation with GGA-PBE was carried out for an optimized crystal structure of La4Zr.

```
data_La4Zr
_symmetry_space_group_name_H-M 'P m -3 m'
_symmetry_Int_Tables_number 221
_symmetry_space_group_name_Hall '-P 4 2 3'
_cell_length_a 5.802
_cell_length_b 5.802
_cell_length_c 5.802
_cell_angle_alpha 90.00
_cell_angle_beta 90.00
_cell_angle_gamma 90.00
loop_
_atom_site_label
_atom_site_fract_x
_atom_site_fract_y
_atom_site_fract_z
La1 0.000 0.000 0.000
La2 0.000 0.500 0.500
Zr1 0.500 0.500 0.500
```

For the calculated total energy, the calculation gives -0.192 hartree per atom. The value obtained for the formation energy is 0.438 eV per atom. The size of the total moment comes out at 0.0 μB/f.u. As for the energy above the most stable polymorph in this dataset: 0.322 eV per atom. The density of states at the Fermi level is 7.104 states/eV/cell.

---

[2]
A plane-wave DFT calculation with GGA-PBE was carried out for an optimized crystal structure of InW.

```
data_InW
_symmetry_space_group_name_H-M 'C m m e'
_symmetry_Int_Tables_number 67
_symmetry_space_group_name_Hall '-C 2a 2'
_cell_length_a 3.263
_cell_length_b 4.899
_cell_length_c 10.092
_cell_angle_alpha 90.00
_cell_angle_beta 90.00
_cell_angle_gamma 90.00
loop_
_atom_site_label
_atom_site_fract_x
_atom_site_fract_y
_atom_site_fract_z
In1 0.000 0.250 0.152
W1 0.000 0.250 0.599
```

For the calculated total energy, the calculation gives -0.270 hartree per atom. The value obtained for the formation energy is 0.489 eV per atom. The size of the total moment comes out at 0.0 μB/f.u. As for the energy above the most stable polymorph in this dataset: 0.087 eV per atom. The density of states at the Fermi level is 5.974 states/eV/cell.

---

[3]
A plane-wave DFT calculation with GGA-PBE was carried out for an optimized crystal structure of Be2TlBr.

```
data_Be2TlBr
_symmetry_space_group_name_H-M 'I 4/m m m'
_symmetry_Int_Tables_number 139
_symmetry_space_group_name_Hall '-I 4 2'
_cell_length_a 4.231
_cell_length_b 4.231
_cell_length_c 10.747
_cell_angle_alpha 90.00
_cell_angle_beta 90.00
_cell_angle_gamma 90.00
loop_
_atom_site_label
_atom_site_fract_x
_atom_site_fract_y
_atom_site_fract_z
Be1 0.000 0.500 0.250
Tl1 0.000 0.000 0.000
Br1 0.000 0.000 0.500
```

For the calculated total energy, the calculation gives -0.070 hartree per atom. The size of the total moment comes out at 0.0 μB/f.u. As for the energy above the most stable polymorph in this dataset: 0.650 eV per atom. The density of states at the Fermi level is 2.465 states/eV/cell.

---

[4]
A plane-wave DFT calculation with GGA-PBE was carried out for an optimized crystal structure of KY2Cl.

```
data_KY2Cl
_symmetry_space_group_name_H-M 'I -4 2 d'
_symmetry_Int_Tables_number 122
_symmetry_space_group_name_Hall 'I -4 2bw'
_cell_length_a 9.355
_cell_length_b 9.355
_cell_length_c 6.257
_cell_angle_alpha 90.00
_cell_angle_beta 90.00
_cell_angle_gamma 90.00
loop_
_atom_site_label
_atom_site_fract_x
_atom_site_fract_y
_atom_site_fract_z
K1 0.000 0.000 0.000
Y1 0.142 0.250 0.625
Cl1 0.000 0.000 0.500
```

For the calculated total energy, the calculation gives -0.152 hartree per atom. The size of the total moment comes out at 1.7 μB/f.u. As for the energy above the most stable polymorph in this dataset: 0.469 eV per atom. The density of states at the Fermi level is 13.950 states/eV/cell.

---

[5]
A plane-wave DFT calculation with GGA-PBE was carried out for an optimized crystal structure of SrAsH3.

```
data_SrAsH3
_symmetry_space_group_name_H-M 'P m -3 m'
_symmetry_Int_Tables_number 221
_symmetry_space_group_name_Hall '-P 4 2 3'
_cell_length_a 4.031
_cell_length_b 4.031
_cell_length_c 4.031
_cell_angle_alpha 90.00
_cell_angle_beta 90.00
_cell_angle_gamma 90.00
loop_
_atom_site_label
_atom_site_fract_x
_atom_site_fract_y
_atom_site_fract_z
Sr1 0.000 0.000 0.000
As1 0.500 0.500 0.500
H1 0.000 0.500 0.500
```

For the calculated total energy, the calculation gives -0.118 hartree per atom. The size of the total moment comes out at 0.0 μB/f.u. As for the energy above the most stable polymorph in this dataset: 0.000 eV per atom. The density of states at the Fermi level is 1.328 states/eV/cell.

---

[6]
A plane-wave DFT calculation with GGA-PBE was carried out for an optimized crystal structure of Hf7In2Sb2.

```
data_Hf7In2Sb2
_symmetry_space_group_name_H-M 'C m m m'
_symmetry_Int_Tables_number 65
_symmetry_space_group_name_Hall '-C 2 2'
_cell_length_a 7.938
_cell_length_b 10.098
_cell_length_c 6.843
_cell_angle_alpha 90.00
_cell_angle_beta 90.00
_cell_angle_gamma 90.00
loop_
_atom_site_label
_atom_site_fract_x
_atom_site_fract_y
_atom_site_fract_z
Hf1 0.000 0.000 0.000
Hf2 0.000 0.500 0.273
Hf3 0.250 0.250 0.284
In1 0.175 0.000 0.500
Sb1 0.000 0.285 0.000
```

For the calculated total energy, the calculation gives -0.271 hartree per atom. The size of the total moment comes out at 0.0 μB/f.u. The density of states at the Fermi level is 19.784 states/eV/cell.